Entry 1:
First-principles (PBE-GGA) data for an optimized crystal structure of NdPuOsPd, as listed in the Alexandria database.

```
NdPuOsPd
1.0
0.0000 3.5040 3.5040
3.5040 0.0000 3.5040
3.5040 3.5040 0.0000
Nd Pu Os Pd
1 1 1 1
Direct
0.0000 0.0000 0.0000
0.5000 0.5000 0.5000
0.7500 0.7500 0.7500
0.2500 0.2500 0.2500
```

space-group type	No. 216

***

Entry 2:
First-principles (PBE-GGA) data for an optimized crystal structure of NdScOsPd, as listed in the Alexandria database.

```
NdScOsPd
1.0
0.0000 3.4169 3.4169
3.4169 0.0000 3.4169
3.4169 3.4169 0.0000
Nd Sc Os Pd
1 1 1 1
Direct
0.0000 0.0000 0.0000
0.5000 0.5000 0.5000
0.7500 0.7500 0.7500
0.2500 0.2500 0.2500
```

space-group type	No. 216

***

Entry 3:
First-principles (PBE-GGA) data for an optimized crystal structure of TbNdOsPd, as listed in the Alexandria database.

```
TbNdOsPd
1.0
0.0000 3.5153 3.5153
3.5153 0.0000 3.5153
3.5153 3.5153 0.0000
Tb Nd Os Pd
1 1 1 1
Direct
0.0000 0.0000 0.0000
0.5000 0.5000 0.5000
0.7500 0.7500 0.7500
0.2500 0.2500 0.2500
```

space-group type	No. 216

***

Entry 4:
First-principles (PBE-GGA) data for an optimized crystal structure of NdThOsPd, as listed in the Alexandria database.

```
NdThOsPd
1.0
0.0000 3.5782 3.5782
3.5782 0.0000 3.5782
3.5782 3.5782 0.0000
Nd Th Os Pd
1 1 1 1
Direct
0.0000 0.0000 0.0000
0.5000 0.5000 0.5000
0.7500 0.7500 0.7500
0.2500 0.2500 0.2500
```

space-group type	No. 216

***

Entry 5:
First-principles (PBE-GGA) data for an optimized crystal structure of Pm7NdOs2, as listed in the Alexandria database.

```
Pm7NdOs2
1.0
4.4226 -7.1855 0.0000
4.4226 7.1855 0.0000
0.0000 0.0000 5.5859
Pm Nd Os
7 1 2
Direct
0.0000 0.0000 0.0000
0.1726 0.4422 0.0000
0.2045 0.7955 0.5000
0.4422 0.1726 0.0000
0.5578 0.8274 0.0000
0.7955 0.2045 0.5000
0.8274 0.5578 0.0000
0.5000 0.5000 0.5000
0.2031 0.7969 0.0000
0.7969 0.2031 0.0000
```

space-group type	No. 65

***

Entry 6:
First-principles (PBE-GGA) data for an optimized crystal structure of PmNdOs, as listed in the Alexandria database.

```
PmNdOs
1.0
3.4903 2.0151 6.5054
-3.4903 2.0151 6.5054
0.0000 -4.0302 6.5054
Pm Nd Os
3 3 3
Direct
0.0011 0.3391 0.6598
0.3391 0.6598 0.0011
0.6598 0.0011 0.3391
0.1548 0.8399 0.4960
0.4960 0.1548 0.8399
0.8399 0.4960 0.1548
0.0791 0.0791 0.0791
0.4201 0.4201 0.4201
0.5761 0.5761 0.5761
```

energy relative to the lowest polymorph listed for this composition	0.108	eV/atom
space-group type	No. 146

***

Entry 7:
First-principles (PBE-GGA) data for an optimized crystal structure of Pm2NdOs, as listed in the Alexandria database.

```
Pm2NdOs
1.0
7.4912 0.0000 0.0000
0.0000 9.5438 0.0000
0.0000 0.0000 6.5180
Pm Nd Os
8 4 4
Direct
0.1748 0.0659 0.1691
0.1748 0.4341 0.1691
0.3252 0.5659 0.6691
0.3252 0.9341 0.6691
0.6748 0.0659 0.3309
0.6748 0.4341 0.3309
0.8252 0.5659 0.8309
0.8252 0.9341 0.8309
0.0420 0.2500 0.6381
0.4580 0.7500 0.1381
0.5420 0.2500 0.8619
0.9580 0.7500 0.3619
0.1142 0.7500 0.9493
0.3858 0.2500 0.4493
0.6142 0.7500 0.5507
0.8858 0.2500 0.0507
```

energy relative to the lowest polymorph listed for this composition	0.000	eV/atom
space-group type	No. 62

***

Entry 8:
First-principles (PBE-GGA) data for an optimized crystal structure of Pm2Nd2Os, as listed in the Alexandria database.

```
Pm2Nd2Os
1.0
3.7961 -6.1374 0.0000
3.7961 6.1374 0.0000
-3.2141 0.0000 6.8016
Pm Nd Os
4 4 2
Direct
0.1701 0.7214 0.7453
0.2786 0.8299 0.2547
0.7214 0.1701 0.7453
0.8299 0.2786 0.2547
0.2423 0.2423 0.5955
0.2764 0.2764 0.1036
0.7236 0.7236 0.8964
0.7577 0.7577 0.4045
0.3726 0.6274 0.5000
0.6274 0.3726 0.5000
```

space-group type	No. 12

***

Number 1: final energy -9.080 eV per atom, ΔE_f -0.80 eV/f.u., size of the total moment 4.72 μB per cell. Number 2: final energy -7.300 eV per atom, ΔE_f -1.68 eV/f.u., size of the total moment 0.00 μB per cell. Number 3: final energy -6.860 eV per atom, ΔE_f -1.62 eV/f.u., size of the total moment 0.00 μB per cell. Number 4: final energy -7.557 eV per atom, ΔE_f -1.62 eV/f.u., size of the total moment 0.00 μB per cell. Number 5: final energy -5.929 eV per atom, ΔE_f 1.19 eV/f.u., size of the total moment 0.00 μB per cell. Number 6: final energy -6.875 eV per atom, ΔE_f 0.12 eV/f.u., size of the total moment 0.00 μB per cell. Number 7: final energy -6.497 eV per atom, ΔE_f -0.49 eV/f.u., size of the total moment 0.00 μB per cell. Number 8: final energy -6.084 eV per atom, ΔE_f -0.15 eV/f.u., size of the total moment 0.00 μB per cell.